Entry from the Alexandria database: a relaxed structure of Na2NdCrO4 (PBE+U).

## Properties
VASP energy: -6.48 eV/atom

abc: 5.7216 3.3434 5.8891
angles: 90.00 109.44 90.00
Space group P2/m (No. 10)
Asymmetric unit:
Na 0.0000 0.0000 0.0000 [1 per cell]
Na 0.5000 0.5000 0.0000 [1 per cell]
Nd 0.0000 0.5000 0.5000 [1 per cell]
Cr 0.5000 0.0000 0.5000 [1 per cell]
O 0.2713 0.0000 0.7127 [2 per cell]
O 0.2920 0.5000 0.2960 [2 per cell]